LiCrPO4: relaxed, PBE+U.

Cell and atoms, written as CIF:
```
data_LiCrPO4
_chemical_formula_sum 'Li8 Cr8 P8 O32'
_symmetry_space_group_name_H-M 'P b c a'
_symmetry_Int_Tables_number 61
_symmetry_space_group_name_Hall '-P 2ac 2ab'
_cell_length_a 5.9836
_cell_length_b 7.4413
_cell_length_c 14.1357
_cell_angle_alpha 90.00
_cell_angle_beta 90.00
_cell_angle_gamma 90.00
loop_
_atom_site_label
_atom_site_fract_x
_atom_site_fract_y
_atom_site_fract_z
_atom_site_occupancy
Li1 0.2068 0.1811 0.2209 1
Cr1 0.1186 0.6677 0.5436 1
P1 0.1071 0.5472 0.8720 1
O1 0.0189 0.6350 0.1329 1
O2 0.0564 0.2028 0.5985 1
O3 0.2091 0.0401 0.9532 1
O4 0.2119 0.5816 0.7758 1
```

The electronic total energy is -7.11 eV per atom. The crystal system is orthorhombic.